The following is a PBE-GGA calculation of a geometry-optimized NaHfI2N structure, from the Alexandria database.

energy relative to the elements, uncorrected	1178	meV/atom
total magnetic moment	0.96	μB per formula unit
V	126	Å³ per cell
calculated total energy	-16.8	eV for the cell shown
relative energy among the computed polymorphs	1779	meV/atom

Cell and atoms, written as POSCAR:
```
NaHfI2N
1.0
-3.123 2.843 3.559
-0.709 -4.566 3.025
3.360 0.936 2.201
I Na Hf N
2 1 1 1
Direct
0.000 0.500 0.000
0.500 0.000 0.000
0.000 0.000 0.000
0.500 0.500 0.500
0.000 0.000 0.500
```